Computed, not measured: a relaxed Pm4Ga2Co crystal at the PBE level of DFT.

abc: 6.8482 6.8091 8.2065
angles: 90.00 111.07 90.00
Last column: nearest neighbours and their distance in Å.
Space group P2_1/m (No. 11)
Symmetry-distinct sites (fractional):
Pm 0.1470 0.0127 0.2928  2 Co 2.80-3.06, 2 Ga 3.10-3.12
Pm 0.3115 0.2500 0.9238  1 Co 2.63
Pm 0.3214 0.7500 0.6691  1 Co 2.83, 1 Ga 3.10
Ga 0.2144 0.7500 0.0058  6 Pm 3.09-3.22, 1 Ga 3.11
Ga 0.4588 0.2500 0.6147  1 Co 2.47
Co 0.0871 0.2500 0.5874  1 Ga 2.47, 1 Pm 2.63

Summary:
Size of the total moment (μB/f.u.): 0.00
ΔE to the lowest computed polymorph (meV/atom): 0
ΔH_f (0 K) (meV per atom): -312